Record 1
Below is an optimized crystal structure of PrSm3Pt, with properties calculated at the PBE-GGA level.

```
PrSm3Pt
1.0
-2.4557 4.9897 -0.7832
-4.2569 -1.5759 3.3071
2.7185 2.0397 4.4711
Sm Pt Pr
3 1 1
Direct
0.0000 0.5000 0.0000
0.5000 0.0000 0.0000
0.0000 0.0000 0.5000
0.0000 0.0000 0.0000
0.5000 0.5000 0.5000
```

Results
**Raw total energy**: -26.5 eV per cell
**Calculated volume**: 35.428 A^3/atom
**Symmetry**: Pm-3m, No. 221
**E_form**: -1.52 eV/f.u.

Record 2
Below is an optimized crystal structure of Pm3NdPt3, with properties calculated at the PBE-GGA level.

```
Pm3NdPt3
1.0
0.1537 6.6443 2.6660
1.8225 -3.4603 5.9986
7.0137 0.5317 -1.9000
Pm Pt Nd
6 6 2
Direct
0.7547 0.2453 0.0000
0.6656 0.6656 0.3753
0.8227 0.1773 0.5000
0.3344 0.3344 0.6247
0.1773 0.8227 0.5000
0.2453 0.7547 0.0000
0.0601 0.0601 0.8059
0.5011 0.9854 0.7192
0.0146 0.4989 0.2808
0.4989 0.0146 0.2808
0.9854 0.5011 0.7192
0.9399 0.9399 0.1941
0.2601 0.2601 0.1196
0.7399 0.7399 0.8804
```

Results
**Raw total energy**: -87.0 eV per cell
**Calculated volume**: 26.454 A^3/atom
**Symmetry**: C2/m, No. 12
**E_form**: -6.35 eV/f.u.

Record 3
Below is an optimized crystal structure of CsRb3P, with properties calculated at the PBE-GGA level.

```
CsRb3P
1.0
-3.0711 -4.3501 4.3697
4.9674 1.1464 4.6325
-3.6527 5.2165 2.6259
P Cs Rb
1 1 3
Direct
0.0000 0.0000 0.0000
0.5000 0.5000 0.5000
0.0000 0.5000 0.0000
0.0000 0.0000 0.5000
0.5000 0.0000 0.0000
```

Results
**Raw total energy**: -9.2 eV per cell
**Calculated volume**: 65.369 A^3/atom
**Symmetry**: Pm-3m, No. 221
**E_form**: -0.05 eV/f.u.

Record 4
Below is an optimized crystal structure of Fe2PbAu, with properties calculated at the PBE-GGA level.

```
Fe2PbAu
1.0
4.3172 0.0000 0.0000
0.0000 3.1877 -0.1502
0.0000 0.5885 5.0442
Fe Pb Au
2 1 1
Direct
0.5000 0.1145 0.2509
0.0000 0.1318 0.9810
0.0000 0.5875 0.4458
0.5000 0.6662 0.8223
```

Results
**Raw total energy**: -22.3 eV per cell
**Calculated volume**: 17.450 A^3/atom
**Symmetry**: Pm, No. 6
**E_form**: 1.57 eV/f.u.

Record 5
Below is an optimized crystal structure of Rb2TlTc2, with properties calculated at the PBE-GGA level.

```
Rb2TlTc2
1.0
-3.9075 -0.5664 -2.8821
2.8338 -1.9887 -3.4511
-1.7319 -8.1284 -0.2001
Tc Tl Rb
2 1 2
Direct
0.5670 0.5670 0.8660
0.4330 0.4330 0.1340
0.0000 0.0000 0.0000
0.7500 0.2500 0.5000
0.2500 0.7500 0.5000
```

Results
**Raw total energy**: -17.7 eV per cell
**Calculated volume**: 36.133 A^3/atom
**Symmetry**: I4/mmm, No. 139
**E_form**: 7.34 eV/f.u.

Record 6
Below is an optimized crystal structure of ScSbS3, with properties calculated at the PBE-GGA level.

```
ScSbS3
1.0
-1.5304 3.9765 -2.3869
-2.7681 -2.7999 -2.8897
-3.7212 0.4473 3.1312
S Sc Sb
3 1 1
Direct
0.0000 0.5000 0.0000
0.5000 0.0000 0.0000
0.0000 0.0000 0.5000
0.0000 0.0000 0.0000
0.5000 0.5000 0.5000
```

Results
**Raw total energy**: -24.9 eV per cell
**Calculated volume**: 23.298 A^3/atom
**Symmetry**: Pm-3m, No. 221
**Raw formation energy**: -9.62 kcal/mol of atoms

- Which value of raw total energy does entry 3 give?
  -9.2 eV per cell

Please write out number 6 again, unchanged.
Below is an optimized crystal structure of ScSbS3, with properties calculated at the PBE-GGA level.

```
ScSbS3
1.0
-1.5304 3.9765 -2.3869
-2.7681 -2.7999 -2.8897
-3.7212 0.4473 3.1312
S Sc Sb
3 1 1
Direct
0.0000 0.5000 0.0000
0.5000 0.0000 0.0000
0.0000 0.0000 0.5000
0.0000 0.0000 0.0000
0.5000 0.5000 0.5000
```

Results
**Raw total energy**: -24.9 eV per cell
**Calculated volume**: 23.298 A^3/atom
**Symmetry**: Pm-3m, No. 221
**Raw formation energy**: -9.62 kcal/mol of atoms

Copy entry 1 word for word.
Below is an optimized crystal structure of PrSm3Pt, with properties calculated at the PBE-GGA level.

```
PrSm3Pt
1.0
-2.4557 4.9897 -0.7832
-4.2569 -1.5759 3.3071
2.7185 2.0397 4.4711
Sm Pt Pr
3 1 1
Direct
0.0000 0.5000 0.0000
0.5000 0.0000 0.0000
0.0000 0.0000 0.5000
0.0000 0.0000 0.0000
0.5000 0.5000 0.5000
```

Results
**Raw total energy**: -26.5 eV per cell
**Calculated volume**: 35.428 A^3/atom
**Symmetry**: Pm-3m, No. 221
**E_form**: -1.52 eV/f.u.